Here is SiSb2TeI after structural relaxation from Alexandria. Energies are from PBE.

a = 5.4046 Å, b = 5.4046 Å, c = 5.2017 Å
α = 90.00°, β = 90.00°, γ = 90.00°
Fractional coordinates of all 5 atoms:
Si1 0.0000 0.0000 0.0000
Sb1 0.0000 0.5000 0.0000
Sb2 0.5000 0.0000 0.0000
Te1 0.0000 0.0000 0.5000
I1 0.5000 0.5000 0.5000

Computed properties:
formation energy (no corrections)	0.52	eV per atom
E above lowest polymorph	0	meV/atom

=====

Here is CaTb3Sm4Te8 after structural relaxation from Alexandria. Energies are from PBE.

a = 8.8706 Å, b = 8.8706 Å, c = 8.8706 Å
α = 59.61°, β = 59.61°, γ = 59.61°
Fractional coordinates of all 16 atoms:
Ca1 0.0000 0.0000 0.0000
Tb1 0.0000 0.5000 0.5000
Tb2 0.5000 0.0000 0.5000
Tb3 0.5000 0.5000 0.0000
Sm1 0.0000 0.0000 0.5000
Sm2 0.0000 0.5000 0.0000
Sm3 0.5000 0.0000 0.0000
Sm4 0.5000 0.5000 0.5000
Te1 0.2484 0.2484 0.7475
Te2 0.2484 0.7475 0.2484
Te3 0.2521 0.2521 0.2521
Te4 0.2525 0.7516 0.7516
Te5 0.7475 0.2484 0.2484
Te6 0.7479 0.7479 0.7479
Te7 0.7516 0.2525 0.7516
Te8 0.7516 0.7516 0.2525

Computed properties:
formation energy (no corrections)	-1.38	eV per atom

=====

Here is Tl2OsBr after structural relaxation from Alexandria. Energies are from PBE.

a = 3.2345 Å, b = 3.2345 Å, c = 9.1725 Å
α = 90.00°, β = 90.00°, γ = 90.00°
Fractional coordinates of all 4 atoms:
Tl1 0.0000 0.0000 0.0000
Tl2 0.5000 0.5000 0.2929
Os1 0.5000 0.5000 0.7928
Br1 0.0000 0.0000 0.6212

Computed properties:
formation energy (no corrections)	0.79	eV per atom
E above lowest polymorph	211	meV/atom

=====

Here is BaTi2In after structural relaxation from Alexandria. Energies are from PBE.

a = 11.0518 Å, b = 11.0518 Å, c = 11.0518 Å
α = 154.35°, β = 154.35°, γ = 36.59°
Fractional coordinates of all 8 atoms:
Ba1 0.0000 0.0000 0.0000
Ba2 0.7500 0.2500 0.5000
Ti1 0.3585 0.6250 0.2335
Ti2 0.3750 0.6085 0.7335
Ti3 0.3915 0.1250 0.7665
Ti4 0.8750 0.6415 0.2665
In1 0.2500 0.7500 0.5000
In2 0.5000 0.5000 0.0000

Computed properties:
E_form	0.589	eV/atom

=====

Here is Tb2Tm12Pu after structural relaxation from Alexandria. Energies are from PBE.

a = 3.4862 Å, b = 5.5285 Å, c = 23.8555 Å
α = 90.00°, β = 94.09°, γ = 90.00°
Fractional coordinates of all 15 atoms:
Tb1 0.1411 0.0000 0.2803
Tb2 0.8589 0.0000 0.7197
Tm1 0.0297 0.5000 0.0665
Tm2 0.0627 0.0000 0.1353
Tm3 0.2236 0.5000 0.4448
Tm4 0.2864 0.0000 0.5761
Tm5 0.3331 0.5000 0.6702
Tm6 0.4087 0.5000 0.8073
Tm7 0.5913 0.5000 0.1927
Tm8 0.6669 0.5000 0.3298
Tm9 0.7136 0.0000 0.4239
Tm10 0.7764 0.5000 0.5552
Tm11 0.9373 0.0000 0.8647
Tm12 0.9703 0.5000 0.9335
Pu1 0.5000 0.0000 0.0000

Computed properties:
E_form	0.137	eV/atom

=====

Here is SrPaAuO5 after structural relaxation from Alexandria. Energies are from PBE.

a = 6.0820 Å, b = 6.0820 Å, c = 8.1900 Å
α = 98.91°, β = 98.91°, γ = 115.63°
Fractional coordinates of all 16 atoms:
Sr1 0.1860 0.8140 0.7500
Sr2 0.8140 0.1860 0.2500
Pa1 0.5000 0.5000 0.0000
Pa2 0.5000 0.5000 0.5000
Au1 0.1565 0.8435 0.2500
Au2 0.8435 0.1565 0.7500
O1 0.1385 0.1618 0.9153
O2 0.1618 0.1385 0.4153
O3 0.2867 0.6943 0.4296
O4 0.3057 0.7133 0.0704
O5 0.4263 0.5737 0.7500
O6 0.5737 0.4263 0.2500
O7 0.6943 0.2867 0.9296
O8 0.7133 0.3057 0.5704
O9 0.8382 0.8615 0.5847
O10 0.8615 0.8382 0.0847

Computed properties:
formation energy (no corrections)	-2.23	eV per atom